Entry 1:
VASP calculation (PBE) on crystalline K2LiHgI4 at its relaxed geometry. Values from VASP.

ΔE_f (raw) (meV/atom): -958
Fermi-level density of states (states/eV per cell): 12.3
Total energy (eV per atom): -2.28
Space-group type: Fddd

Quantum ESPRESSO input file:
```
&SYSTEM
  ibrav = 0, nat = 16, ntyp = 4
/
ATOMIC_SPECIES
K 39.10 K.upf
Li 6.94 Li.upf
Hg 200.59 Hg.upf
I 126.90 I.upf
ATOMIC_POSITIONS angstrom
K 2.332 6.030 1.255
K 3.887 10.050 8.223
K 2.332 6.030 19.651
K 3.887 10.050 26.620
Li 0.777 2.010 3.484
Li 5.442 14.071 24.390
Hg 2.332 6.030 10.453
Hg 3.887 10.050 17.422
I 1.998 3.834 5.235
I 4.222 7.854 12.204
I 2.667 8.227 5.235
I 2.667 3.834 15.671
I 3.553 12.247 12.204
I 3.553 7.854 22.639
I 1.998 8.227 15.671
I 4.222 12.247 22.639
CELL_PARAMETERS angstrom
0.000 8.040 13.937
3.110 0.000 13.937
3.110 8.040 0.000
```

Entry 2:
VASP calculation (PBE) on crystalline AgTe2 at its relaxed geometry. Values from VASP.

ΔE_f (raw) (meV/atom): 77
Fermi-level density of states (states/eV per cell): 1.1
Total energy (eV per atom): -2.97
Space-group type: R3m

Quantum ESPRESSO input file:
```
&SYSTEM
  ibrav = 0, nat = 3, ntyp = 2
/
ATOMIC_SPECIES
Ag 107.87 Ag.upf
Te 127.60 Te.upf
ATOMIC_POSITIONS angstrom
Ag 0.000 0.000 0.000
Te 0.000 0.000 3.916
Te 0.000 0.000 6.904
CELL_PARAMETERS angstrom
2.175 1.256 5.387
-2.175 1.256 5.387
0.000 -2.512 5.387
```

Entry 3:
VASP calculation (PBE) on crystalline Zr2TlV at its relaxed geometry. Values from VASP.

Fermi-level density of states (states/eV per cell): 3.1
Total energy (eV per atom): -7.00
Energy above the most stable polymorph in this dataset (meV/atom): 108
Formation enthalpy at 0 K (eV/f.u.): 0.58
Space-group type: Fm-3m

Quantum ESPRESSO input file:
```
&SYSTEM
  ibrav = 0, nat = 4, ntyp = 3
/
ATOMIC_SPECIES
Zr 91.22 Zr.upf
Tl 204.38 Tl.upf
V 50.94 V.upf
ATOMIC_POSITIONS angstrom
Zr 1.735 1.735 1.735
Zr 5.204 5.204 5.204
Tl 0.000 0.000 0.000
V 3.469 3.469 3.469
CELL_PARAMETERS angstrom
0.000 3.469 3.469
3.469 0.000 3.469
3.469 3.469 0.000
```

Entry 4:
VASP calculation (PBE) on crystalline CuBPt3 at its relaxed geometry. Values from VASP.

Fermi-level density of states (states/eV per cell): 0.3
Total energy (eV per atom): -5.84
Energy above the most stable polymorph in this dataset (meV/atom): 155
Formation enthalpy at 0 K (eV/f.u.): -0.32
Space-group type: Pm-3m

Quantum ESPRESSO input file:
```
&SYSTEM
  ibrav = 0, nat = 5, ntyp = 3
/
ATOMIC_SPECIES
Cu 63.55 Cu.upf
B 10.81 B.upf
Pt 195.08 Pt.upf
ATOMIC_POSITIONS angstrom
Cu 0.000 0.000 0.000
B 2.079 2.079 2.079
Pt 0.000 2.079 2.079
Pt 2.079 0.000 2.079
Pt 2.079 2.079 0.000
CELL_PARAMETERS angstrom
4.158 0.000 0.000
0.000 4.158 0.000
0.000 0.000 4.158
```

Entry 5:
VASP calculation (PBE) on crystalline PrDyY2 at its relaxed geometry. Values from VASP.

Fermi-level density of states (states/eV per cell): 7.8
Total energy (eV per atom): -5.46
Energy above the most stable polymorph in this dataset (meV/atom): 99
Formation enthalpy at 0 K (eV/f.u.): 0.47
Space-group type: Fm-3m

Quantum ESPRESSO input file:
```
&SYSTEM
  ibrav = 0, nat = 4, ntyp = 3
/
ATOMIC_SPECIES
Pr 140.91 Pr.upf
Dy 162.50 Dy.upf
Y 88.91 Y.upf
ATOMIC_POSITIONS angstrom
Pr 0.000 0.000 0.000
Dy 4.057 4.057 4.057
Y 2.028 2.028 2.028
Y 6.085 6.085 6.085
CELL_PARAMETERS angstrom
0.000 4.057 4.057
4.057 0.000 4.057
4.057 4.057 0.000
```

Entry 6:
VASP calculation (PBE) on crystalline Ag2PtAu at its relaxed geometry. Values from VASP.

Fermi-level density of states (states/eV per cell): 1.5
Total energy (eV per atom): -3.74
Energy above the most stable polymorph in this dataset (meV/atom): 31
Formation enthalpy at 0 K (eV/f.u.): 0.05
Space-group type: I-4m2

Quantum ESPRESSO input file:
```
&SYSTEM
  ibrav = 0, nat = 4, ntyp = 3
/
ATOMIC_SPECIES
Ag 107.87 Ag.upf
Pt 195.08 Pt.upf
Au 196.97 Au.upf
ATOMIC_POSITIONS angstrom
Ag 0.000 0.000 0.000
Ag 0.000 2.089 1.974
Pt 0.000 0.000 3.948
Au 2.089 0.000 1.974
CELL_PARAMETERS angstrom
-2.089 2.089 3.948
2.089 -2.089 3.948
2.089 2.089 -3.948
```

Entry 7:
VASP calculation (PBE) on crystalline CdHg2Ru at its relaxed geometry. Values from VASP.

Fermi-level density of states (states/eV per cell): 2.9
Total energy (eV per atom): -2.28
Formation enthalpy at 0 K (eV/f.u.): 1.67
Space-group type: I4/mmm

Quantum ESPRESSO input file:
```
&SYSTEM
  ibrav = 0, nat = 4, ntyp = 3
/
ATOMIC_SPECIES
Cd 112.41 Cd.upf
Hg 200.59 Hg.upf
Ru 101.07 Ru.upf
ATOMIC_POSITIONS angstrom
Cd 0.000 0.000 0.000
Hg 2.088 0.000 2.219
Hg 0.000 2.088 2.219
Ru 0.000 0.000 4.438
CELL_PARAMETERS angstrom
-2.088 2.088 4.438
2.088 -2.088 4.438
2.088 2.088 -4.438
```

Entry 8:
VASP calculation (PBE) on crystalline Y8Te3S3N at its relaxed geometry. Values from VASP.

ΔE_f (raw) (meV/atom): -1495
Fermi-level density of states (states/eV per cell): 5.9
Total energy (eV per atom): -6.95
Space-group type: C2/m

Quantum ESPRESSO input file:
```
&SYSTEM
  ibrav = 0, nat = 15, ntyp = 4
/
ATOMIC_SPECIES
Y 88.91 Y.upf
Te 127.60 Te.upf
S 32.06 S.upf
N 14.01 N.upf
ATOMIC_POSITIONS angstrom
Y -0.223 0.000 4.835
Y 3.563 2.188 4.834
Y 5.638 2.188 2.151
Y 2.301 0.000 2.098
Y 6.900 0.000 4.886
Y 3.563 -2.188 4.834
Y 5.638 -2.188 2.151
Y 9.425 0.000 2.149
Te 0.000 0.000 0.000
Te 3.450 1.994 0.000
Te 3.450 -1.994 0.000
S 1.151 1.994 3.492
S 1.151 -1.994 3.492
S 4.601 0.000 3.492
N -2.299 0.000 3.492
CELL_PARAMETERS angstrom
6.900 -3.987 0.000
6.900 3.987 0.000
-4.598 0.000 6.984
```

Entry 9:
VASP calculation (PBE) on crystalline ZnCd2GaHg8 at its relaxed geometry. Values from VASP.

Fermi-level density of states (states/eV per cell): 3.5
Total energy (eV per atom): -0.63
Formation enthalpy at 0 K (eV/f.u.): 0.97
Space-group type: P-3m1

Quantum ESPRESSO input file:
```
&SYSTEM
  ibrav = 0, nat = 12, ntyp = 4
/
ATOMIC_SPECIES
Zn 65.41 Zn.upf
Cd 112.41 Cd.upf
Ga 69.72 Ga.upf
Hg 200.59 Hg.upf
ATOMIC_POSITIONS angstrom
Zn 0.000 0.000 0.000
Cd 0.000 3.956 7.126
Cd 3.426 1.978 0.501
Ga 0.000 0.000 3.813
Hg 0.000 2.066 1.864
Hg -1.637 4.901 1.864
Hg 0.000 3.956 4.311
Hg 1.789 1.033 5.762
Hg 1.637 4.901 1.864
Hg 3.426 1.978 3.315
Hg 5.062 1.033 5.762
Hg 3.426 3.868 5.762
CELL_PARAMETERS angstrom
6.852 0.000 0.000
-3.426 5.934 0.000
0.000 0.000 7.626
```

Entry 10:
VASP calculation (PBE) on crystalline TbCeBi at its relaxed geometry. Values from VASP.

Fermi-level density of states (states/eV per cell): 7.5
Total energy (eV per atom): -5.05
Formation enthalpy at 0 K (eV/f.u.): -0.70
Space-group type: P3m1

Quantum ESPRESSO input file:
```
&SYSTEM
  ibrav = 0, nat = 3, ntyp = 3
/
ATOMIC_SPECIES
Tb 158.93 Tb.upf
Ce 140.12 Ce.upf
Bi 208.98 Bi.upf
ATOMIC_POSITIONS angstrom
Tb 0.000 0.000 0.000
Ce 0.000 3.103 1.747
Bi 2.687 1.551 3.062
CELL_PARAMETERS angstrom
5.374 0.000 0.000
-2.687 4.654 0.000
0.000 0.000 3.765
```

Entry 11:
VASP calculation (PBE) on crystalline FeSiCl3 at its relaxed geometry. Values from VASP.

ΔE_f (raw) (meV/atom): 84
Fermi-level density of states (states/eV per cell): 7.7
Total energy (eV per atom): -3.80
Energy above the most stable polymorph in this dataset (meV/atom): 0
Space-group type: Pm-3m

Quantum ESPRESSO input file:
```
&SYSTEM
  ibrav = 0, nat = 5, ntyp = 3
/
ATOMIC_SPECIES
Fe 55.84 Fe.upf
Si 28.09 Si.upf
Cl 35.45 Cl.upf
ATOMIC_POSITIONS angstrom
Fe 0.000 0.000 0.000
Si 2.402 2.402 2.402
Cl 0.000 0.000 2.402
Cl 0.000 2.402 0.000
Cl 2.402 0.000 0.000
CELL_PARAMETERS angstrom
4.803 0.000 0.000
0.000 4.803 0.000
0.000 0.000 4.803
```

Entry 12:
VASP calculation (PBE) on crystalline Ba5Cd3 at its relaxed geometry. Values from VASP.

Fermi-level density of states (states/eV per cell): 22.8
Total energy (eV per atom): -1.74
Energy above the most stable polymorph in this dataset (meV/atom): 60
Formation enthalpy at 0 K (eV/f.u.): -1.55
Space-group type: I4cm

Quantum ESPRESSO input file:
```
&SYSTEM
  ibrav = 0, nat = 16, ntyp = 2
/
ATOMIC_SPECIES
Ba 137.33 Ba.upf
Cd 112.41 Cd.upf
ATOMIC_POSITIONS angstrom
Ba 7.006 0.000 0.000
Ba 5.844 4.052 -1.834
Ba 2.954 -1.162 1.844
Ba 4.052 8.168 -1.834
Ba 1.162 2.954 1.844
Ba 0.000 7.006 0.000
Ba 8.168 4.052 1.844
Ba 4.052 5.844 1.844
Ba 2.954 1.162 5.522
Ba -1.162 2.954 5.522
Cd 0.000 0.000 0.005
Cd 9.239 -2.233 1.841
Cd 4.773 2.233 1.841
Cd 0.000 0.000 3.683
Cd -2.233 4.773 1.841
Cd 2.233 9.239 1.841
CELL_PARAMETERS angstrom
-7.006 7.006 3.678
7.006 -7.006 3.678
7.006 7.006 -3.678
```

Entry 13:
VASP calculation (PBE) on crystalline NpB2IrRu at its relaxed geometry. Values from VASP.

Fermi-level density of states (states/eV per cell): 8.7
Total energy (eV per atom): -9.19
Formation enthalpy at 0 K (eV/f.u.): -1.50
Space-group type: I-4m2

Quantum ESPRESSO input file:
```
&SYSTEM
  ibrav = 0, nat = 5, ntyp = 4
/
ATOMIC_SPECIES
Np 237.00 Np.upf
B 10.81 B.upf
Ir 192.22 Ir.upf
Ru 101.07 Ru.upf
ATOMIC_POSITIONS angstrom
Np 0.000 0.000 0.000
B 0.000 0.000 3.408
B 0.000 0.000 5.429
Ir 0.000 1.934 2.209
Ru 1.934 0.000 2.209
CELL_PARAMETERS angstrom
-1.934 1.934 4.418
1.934 -1.934 4.418
1.934 1.934 -4.418
```